DFT (GGA-PBE) results for Cd3ReIr after structural relaxation.

Summary:
Its density of states at the Fermi level is 0.93 states/eV per atom. For the offset from the most stable computed form, the calculation gives 0 meV per atom. The value obtained for the raw total energy is -3.322 eV per atom. For the energy of formation, the calculation gives 1.489 eV per atom.

a b c (Å): 5.142 5.142 5.142
angles (deg): 90.00 90.00 90.00
Site moments in Bohr magnetons follow the coordinates.
Fractional coordinates of all 5 atoms:
Re 0.500 0.500 0.500  3.78
Ir 0.000 0.000 0.000  0.29
Cd 0.000 0.500 0.000  -0.02
Cd 0.000 0.000 0.500  -0.01
Cd 0.500 0.000 0.000  0.01

---

DFT (GGA-PBE) results for CdReIr2 after structural relaxation.

Summary:
Its density of states at the Fermi level is 1.04 states/eV per atom. The value obtained for the raw total energy is -7.388 eV per atom. For the energy of formation, the calculation gives 0.383 eV per atom.

a b c (Å): 4.960 4.960 4.960
angles (deg): 133.66 133.66 67.62
Fractional coordinates of all 4 atoms:
Re 0.500 0.500 0.000
Ir 0.000 0.000 0.000
Ir 0.250 0.750 0.500
Cd 0.750 0.250 0.500